VASP calculation (PBE) on Na2Ca2Sb after structural relaxation.

a = 8.163 Å, b = 8.163 Å, c = 5.977 Å
α = 90.00°, β = 90.00°, γ = 90.00°
Fractional positions:
Na (0.152, 0.348, 0.000)
Na (0.348, 0.848, 0.000)
Na (0.652, 0.152, 0.000)
Na (0.848, 0.652, 0.000)
Ca (0.164, 0.664, 0.500)
Ca (0.336, 0.164, 0.500)
Ca (0.664, 0.836, 0.500)
Ca (0.836, 0.336, 0.500)
Sb (0.000, 0.000, 0.500)
Sb (0.500, 0.500, 0.500)

Output
As for the energy relative to the lowest polymorph listed for this composition: 0 kJ/mol of formula units. As for the uncorrected formation energy: -0.2103 eV/atom. For the total magnetization, the calculation gives 0.000 μB/atom. Its space-group type is No. 127.

VASP calculation (PBE) on Pm2SiGe after structural relaxation.

a = 5.904 Å, b = 3.987 Å, c = 8.614 Å
α = 90.00°, β = 107.32°, γ = 90.00°
Fractional positions:
Pm (0.206, 0.250, 0.429)
Pm (0.288, 0.750, 0.068)
Pm (0.712, 0.250, 0.932)
Pm (0.794, 0.750, 0.571)
Si (0.134, 0.250, 0.789)
Si (0.866, 0.750, 0.211)
Ge (0.367, 0.750, 0.711)
Ge (0.633, 0.250, 0.289)

Output
As for the uncorrected formation energy: -0.8159 eV/atom. For the total magnetization, the calculation gives 0.000 μB/atom. Its space-group type is No. 11.

VASP calculation (PBE) on Rb4PuBr6 after structural relaxation.

a = 9.524 Å, b = 9.524 Å, c = 10.009 Å
α = 90.00°, β = 90.00°, γ = 90.00°
Fractional positions:
Rb (0.173, 0.327, 0.250)
Rb (0.173, 0.327, 0.750)
Rb (0.327, 0.827, 0.250)
Rb (0.327, 0.827, 0.750)
Rb (0.673, 0.173, 0.250)
Rb (0.673, 0.173, 0.750)
Rb (0.827, 0.673, 0.250)
Rb (0.827, 0.673, 0.750)
Pu (0.000, 0.000, 0.000)
Pu (0.500, 0.500, 0.500)
Br (0.000, 0.000, 0.296)
Br (0.000, 0.000, 0.704)
Br (0.095, 0.696, 0.000)
Br (0.196, 0.595, 0.500)
Br (0.304, 0.095, 0.000)
Br (0.405, 0.196, 0.500)
Br (0.500, 0.500, 0.204)
Br (0.500, 0.500, 0.796)
Br (0.595, 0.804, 0.500)
Br (0.696, 0.905, 0.000)
Br (0.804, 0.405, 0.500)
Br (0.905, 0.304, 0.000)

Output
As for the uncorrected formation energy: -1.6194 eV/atom. For the total magnetization, the calculation gives 0.542 μB/atom. Its space-group type is No. 128.

VASP calculation (PBE) on BeFe2P after structural relaxation.

a = 2.900 Å, b = 2.900 Å, c = 4.849 Å
α = 90.00°, β = 90.00°, γ = 90.00°
Fractional positions:
Be (0.000, 0.000, 0.000)
Fe (0.000, 0.000, 0.513)
Fe (0.500, 0.500, 0.210)
P (0.500, 0.500, 0.738)

Output
As for the energy relative to the lowest polymorph listed for this composition: 82 kJ/mol of formula units. The energy relative to the elements is -0.23 eV per atom. For the total magnetization, the calculation gives 0.731 μB/atom. Its space-group type is No. 99.

VASP calculation (PBE) on Tl6HgBr8 after structural relaxation.

a = 8.637 Å, b = 8.637 Å, c = 8.637 Å
α = 70.13°, β = 70.13°, γ = 70.13°
Fractional positions:
Tl (0.025, 0.798, 0.445)
Tl (0.202, 0.555, 0.975)
Tl (0.445, 0.025, 0.798)
Tl (0.555, 0.975, 0.202)
Tl (0.798, 0.445, 0.025)
Tl (0.975, 0.202, 0.555)
Hg (0.500, 0.500, 0.500)
Br (0.166, 0.166, 0.166)
Br (0.180, 0.410, 0.659)
Br (0.341, 0.820, 0.590)
Br (0.410, 0.659, 0.180)
Br (0.590, 0.341, 0.820)
Br (0.659, 0.180, 0.410)
Br (0.820, 0.590, 0.341)
Br (0.834, 0.834, 0.834)

Output
As for the uncorrected formation energy: -0.7563 eV/atom. For the total magnetization, the calculation gives 0.000 μB/atom. Its space-group type is No. 148.

VASP calculation (PBE) on LaZr2BiO8 after structural relaxation.

a = 5.068 Å, b = 6.881 Å, c = 5.072 Å
α = 90.00°, β = 90.76°, γ = 90.00°
Fractional positions:
La (0.000, 0.000, 0.000)
Zr (0.500, 0.250, 0.500)
Zr (0.500, 0.750, 0.500)
Bi (0.000, 0.500, 0.000)
O (0.207, 0.275, 0.205)
O (0.207, 0.725, 0.205)
O (0.304, 0.500, 0.694)
O (0.325, 0.000, 0.673)
O (0.675, 0.000, 0.327)
O (0.696, 0.500, 0.306)
O (0.793, 0.275, 0.795)
O (0.793, 0.725, 0.795)

Output
As for the uncorrected formation energy: -2.5646 eV/atom. For the total magnetization, the calculation gives 0.000 μB/atom. Its space-group type is No. 10.

VASP calculation (PBE) on Na2UI6 after structural relaxation.

a = 9.827 Å, b = 9.827 Å, c = 9.827 Å
α = 90.00°, β = 90.00°, γ = 90.00°
Fractional positions:
Na (0.000, 0.000, 0.000)
Na (0.000, 0.500, 0.500)
Na (0.500, 0.000, 0.500)
Na (0.500, 0.500, 0.000)
U (0.250, 0.250, 0.250)
U (0.750, 0.750, 0.750)
I (0.056, 0.750, 0.750)
I (0.250, 0.250, 0.556)
I (0.250, 0.250, 0.944)
I (0.250, 0.556, 0.250)
I (0.250, 0.944, 0.250)
I (0.444, 0.750, 0.750)
I (0.556, 0.250, 0.250)
I (0.750, 0.056, 0.750)
I (0.750, 0.444, 0.750)
I (0.750, 0.750, 0.056)
I (0.750, 0.750, 0.444)
I (0.944, 0.250, 0.250)

Output
As for the energy relative to the lowest polymorph listed for this composition: 70 kJ/mol of formula units. As for the uncorrected formation energy: -0.9474 eV/atom. For the total magnetization, the calculation gives 0.222 μB/atom. Its space-group type is No. 224.

VASP calculation (PBE) on V4Cr3Fe after structural relaxation.

a = 4.100 Å, b = 4.100 Å, c = 5.781 Å
α = 90.00°, β = 90.00°, γ = 90.00°
Fractional positions:
V (0.000, 0.500, 0.250)
V (0.000, 0.500, 0.750)
V (0.500, 0.000, 0.250)
V (0.500, 0.000, 0.750)
Cr (0.000, 0.000, 0.000)
Cr (0.000, 0.000, 0.500)
Cr (0.500, 0.500, 0.000)
Fe (0.500, 0.500, 0.500)

Output
The energy relative to the elements is -0.14 eV per atom. For the total magnetization, the calculation gives 0.000 μB/atom. Its space-group type is No. 123.

VASP calculation (PBE) on MgScZn2Au4 after structural relaxation.

a = 8.074 Å, b = 8.074 Å, c = 8.074 Å
α = 33.15°, β = 33.15°, γ = 33.15°
Fractional positions:
Mg (0.000, 0.000, 0.000)
Sc (0.500, 0.500, 0.500)
Zn (0.249, 0.249, 0.249)
Zn (0.751, 0.751, 0.751)
Au (0.121, 0.121, 0.121)
Au (0.374, 0.374, 0.374)
Au (0.626, 0.626, 0.626)
Au (0.879, 0.879, 0.879)

Output
The energy relative to the elements is -0.51 eV per atom. For the total magnetization, the calculation gives 0.000 μB/atom. Its space-group type is No. 166.

VASP calculation (PBE) on AlTlBr2Cl after structural relaxation.

a = 5.412 Å, b = 5.412 Å, c = 5.002 Å
α = 90.00°, β = 90.00°, γ = 90.00°
Fractional positions:
Al (0.000, 0.000, 0.000)
Tl (0.500, 0.500, 0.500)
Br (0.000, 0.500, 0.000)
Br (0.500, 0.000, 0.000)
Cl (0.000, 0.000, 0.500)

Output
As for the uncorrected formation energy: -0.8332 eV/atom. For the total magnetization, the calculation gives 0.000 μB/atom. Its space-group type is No. 123.

VASP calculation (PBE) on Pm8Te4Pt3Br after structural relaxation.

a = 8.915 Å, b = 8.915 Å, c = 8.915 Å
α = 57.43°, β = 57.43°, γ = 57.43°
Fractional positions:
Pm (0.225, 0.750, 0.750)
Pm (0.236, 0.236, 0.236)
Pm (0.250, 0.250, 0.775)
Pm (0.250, 0.775, 0.250)
Pm (0.750, 0.225, 0.750)
Pm (0.750, 0.750, 0.225)
Pm (0.764, 0.764, 0.764)
Pm (0.775, 0.250, 0.250)
Te (0.000, 0.000, 0.000)
Te (0.000, 0.500, 0.500)
Te (0.500, 0.000, 0.500)
Te (0.500, 0.500, 0.000)
Pt (0.000, 0.000, 0.500)
Pt (0.000, 0.500, 0.000)
Pt (0.500, 0.000, 0.000)
Br (0.500, 0.500, 0.500)

Output
As for the uncorrected formation energy: -1.2802 eV/atom. For the total magnetization, the calculation gives 0.000 μB/atom. Its space-group type is No. 166.

VASP calculation (PBE) on Pu2ScGe2 after structural relaxation.

a = 7.675 Å, b = 7.675 Å, c = 3.899 Å
α = 90.00°, β = 90.00°, γ = 90.00°
Fractional positions:
Pu (0.129, 0.371, 0.000)
Pu (0.371, 0.871, 0.000)
Pu (0.629, 0.129, 0.000)
Pu (0.871, 0.629, 0.000)
Sc (0.000, 0.000, 0.500)
Sc (0.500, 0.500, 0.500)
Ge (0.171, 0.671, 0.500)
Ge (0.329, 0.171, 0.500)
Ge (0.671, 0.829, 0.500)
Ge (0.829, 0.329, 0.500)

Output
The energy relative to the elements is -0.50 eV per atom. For the total magnetization, the calculation gives 2.190 μB/atom. Its space-group type is No. 127.